1.
Entry from Alexandria: a PBEsol-optimized structure of MgCr3Hg (SCAN).

## Properties
SG: Pm-3m
ΔH_f (0 K): 1.32 eV per atom
Theoretical density: 5.5 g/cm3
Crystal system: cubic
VASP energy: -24.341 eV per atom

CIF file:
```
data_MgCr3Hg
_chemical_formula_sum 'Mg1 Cr3 Hg1'
_cell_length_a 4.858
_cell_length_b 4.858
_cell_length_c 4.858
_cell_angle_alpha 90.00
_cell_angle_beta 90.00
_cell_angle_gamma 90.00
_symmetry_space_group_name_H-M 'P 1'
_symmetry_Int_Tables_number 1
_symmetry_space_group_name_Hall 'P 1'
loop_
_atom_site_label
_atom_site_type_symbol
_atom_site_fract_x
_atom_site_fract_y
_atom_site_fract_z
Cr1 Cr 0.000 0.500 0.000
Cr2 Cr 0.000 0.000 0.500
Cr3 Cr 0.500 0.000 0.000
Mg1 Mg 0.000 0.000 0.000
Hg1 Hg 0.500 0.500 0.500
```

***

2.
Entry from Alexandria: a PBEsol-optimized structure of MgCr2Hg (SCAN).

## Properties
SG: Fm-3m
ΔH_f (0 K): 0.17 eV per atom
Theoretical density: 7.9 g/cm3
Distance to the lowest polymorph of the same formula: 0.000 eV per atom
Crystal system: cubic
VASP energy: -27.304 eV per atom

CIF file:
```
data_MgCr2Hg
_chemical_formula_sum 'Mg1 Cr2 Hg1'
_cell_length_a 4.598
_cell_length_b 4.598
_cell_length_c 4.598
_cell_angle_alpha 60.00
_cell_angle_beta 60.00
_cell_angle_gamma 60.00
_symmetry_space_group_name_H-M 'P 1'
_symmetry_Int_Tables_number 1
_symmetry_space_group_name_Hall 'P 1'
loop_
_atom_site_label
_atom_site_type_symbol
_atom_site_fract_x
_atom_site_fract_y
_atom_site_fract_z
Cr1 Cr 0.750 0.750 0.750
Cr2 Cr 0.250 0.250 0.250
Hg1 Hg 0.000 0.000 0.000
Mg1 Mg 0.500 0.500 0.500
```

***

3.
Entry from Alexandria: a PBEsol-optimized structure of MgCrHg (SCAN).

## Properties
SG: I4mm
ΔH_f (0 K): -0.04 eV per atom
Theoretical density: 8.2 g/cm3
Crystal system: tetragonal
VASP energy: -30.546 eV per atom

CIF file:
```
data_MgCrHg
_chemical_formula_sum 'Mg1 Cr1 Hg1'
_cell_length_a 3.529
_cell_length_b 3.529
_cell_length_c 5.147
_cell_angle_alpha 110.05
_cell_angle_beta 110.05
_cell_angle_gamma 90.00
_symmetry_space_group_name_H-M 'P 1'
_symmetry_Int_Tables_number 1
_symmetry_space_group_name_Hall 'P 1'
loop_
_atom_site_label
_atom_site_type_symbol
_atom_site_fract_x
_atom_site_fract_y
_atom_site_fract_z
Cr1 Cr 0.003 0.003 0.006
Hg1 Hg 0.665 0.665 0.329
Mg1 Mg 0.332 0.332 0.665
```

***

The highest ΔH_f (0 K) belongs to which entry?
MgCr3Hg